# Mg2AgRh, optimized geometry, DFT PBE
data_Mg2AgRh
_space_group_name_H-M_alt 'P 1'
_space_group_IT_number 1
_space_group_name_Hall 'P 1'
_cell_length_a 3.189
_cell_length_b 3.189
_cell_length_c 6.588
_cell_angle_alpha 90.00
_cell_angle_beta 90.00
_cell_angle_gamma 90.00
loop_
_atom_site_label
_atom_site_type_symbol
_atom_site_fract_x
_atom_site_fract_y
_atom_site_fract_z
Mg1 Mg 0.000 0.000 0.224
Mg2 Mg 0.000 0.000 0.776
Ag1 Ag 0.500 0.500 0.500
Rh1 Rh 0.500 0.500 0.000
# Magnetization, μB/f.u.: 0.0
# DOS at the Fermi energy, states/eV/cell: 1.032
# Formation energy, eV/f.u.: -1.6
# Space group: P4/mmm (123)